one | ! SmYTm, optimized geometry, DFT PBE; values from VASP
&SYSTEM
  ibrav = 0, nat = 6, ntyp = 3
/
ATOMIC_SPECIES
Sm 150.36 Sm.upf
Tm 168.93 Tm.upf
Y 88.91 Y.upf
CELL_PARAMETERS angstrom
3.521 0.000 0.000
-1.761 3.049 0.000
0.000 0.000 18.257
ATOMIC_POSITIONS crystal
Sm 0.667 0.333 0.843
Tm 0.333 0.667 0.156
Y 0.000 0.000 0.501
Tm 0.667 0.333 0.656
Sm 0.333 0.667 0.343
Y 0.000 0.000 0.001
! space-group type: P6_3mc, No. 186
! theoretical density: 6.9 Mg/m³

---

two | ! SmYTm, optimized geometry, DFT PBE; values from VASP
&SYSTEM
  ibrav = 0, nat = 6, ntyp = 3
/
ATOMIC_SPECIES
Tm 168.93 Tm.upf
Y 88.91 Y.upf
Sm 150.36 Sm.upf
CELL_PARAMETERS angstrom
3.502 0.000 0.000
0.000 6.545 1.821
0.000 2.641 9.311
ATOMIC_POSITIONS crystal
Tm 0.750 0.756 0.657
Y 0.250 0.280 0.972
Sm 0.250 0.735 0.352
Sm 0.750 0.265 0.648
Tm 0.250 0.244 0.343
Y 0.750 0.720 0.028
! space-group type: P2_1/m, No. 11
! theoretical density: 6.9 Mg/m³

---

Computed energies relative to the best structure, in eV/atom: one 0.000; two 0.010

---

one | ! SmYTm, optimized geometry, DFT PBE; values from VASP
&SYSTEM
  ibrav = 0, nat = 6, ntyp = 3
/
ATOMIC_SPECIES
Y 88.91 Y.upf
Tm 168.93 Tm.upf
Sm 150.36 Sm.upf
CELL_PARAMETERS angstrom
-2.419 2.647 -0.180
-5.561 0.094 4.540
2.897 5.508 6.270
ATOMIC_POSITIONS crystal
Y 0.372 0.395 0.575
Tm 0.815 0.616 0.247
Tm 0.375 0.892 0.576
Y 0.818 0.114 0.248
Sm 0.598 0.003 0.909
Sm 0.593 0.506 0.914
! space-group type: C2/m, No. 12
! theoretical density: 7.1 Mg/m³

---

two | ! SmYTm, optimized geometry, DFT PBE; values from VASP
&SYSTEM
  ibrav = 0, nat = 3, ntyp = 3
/
ATOMIC_SPECIES
Tm 168.93 Tm.upf
Y 88.91 Y.upf
Sm 150.36 Sm.upf
CELL_PARAMETERS angstrom
-2.132 -2.547 -1.281
1.333 0.523 -3.260
5.762 -4.161 3.633
ATOMIC_POSITIONS crystal
Tm 0.667 0.667 0.333
Y 0.002 0.002 0.003
Sm 0.332 0.332 0.664
! space-group type: I4mm, No. 107
! theoretical density: 7.1 Mg/m³

---

three | ! SmYTm, optimized geometry, DFT PBE; values from VASP
&SYSTEM
  ibrav = 0, nat = 3, ntyp = 3
/
ATOMIC_SPECIES
Tm 168.93 Tm.upf
Sm 150.36 Sm.upf
Y 88.91 Y.upf
CELL_PARAMETERS angstrom
-0.780 3.412 0.243
-5.436 -1.283 0.566
3.271 0.424 4.542
ATOMIC_POSITIONS crystal
Tm 0.168 0.333 0.667
Sm 0.166 0.000 0.000
Y 0.666 0.667 0.333
! space-group type: P-6m2, No. 187
! theoretical density: 7.1 Mg/m³

---

Computed energies relative to the best structure, in eV/atom: one 0.000; two 0.029; three 0.073

---

one | ! Sm5Y2Tm3, optimized geometry, DFT PBE; values from VASP
&SYSTEM
  ibrav = 0, nat = 20, ntyp = 3
/
ATOMIC_SPECIES
Tm 168.93 Tm.upf
Y 88.91 Y.upf
Sm 150.36 Sm.upf
CELL_PARAMETERS angstrom
8.747 2.119 -4.293
0.624 8.961 -4.330
-2.266 -2.632 10.678
ATOMIC_POSITIONS crystal
Tm 0.227 0.977 0.954
Y 0.220 0.970 0.244
Sm 0.019 0.769 0.538
Sm 0.522 0.272 0.543
Sm 0.621 0.872 0.242
Sm 0.121 0.370 0.242
Sm 0.269 0.519 0.038
Sm 0.879 0.630 0.758
Tm 0.773 0.023 0.046
Y 0.780 0.030 0.756
Tm 0.721 0.470 0.249
Sm 0.379 0.128 0.758
Tm 0.028 0.779 0.249
Tm 0.972 0.221 0.751
Y 0.475 0.725 0.756
Y 0.525 0.275 0.244
Sm 0.731 0.481 0.962
Sm 0.478 0.728 0.457
Sm 0.981 0.231 0.462
Tm 0.279 0.530 0.751
! space-group type: C2/c, No. 15
! theoretical density: 7.2 Mg/m³

---

two | ! Sm5Y2Tm3, optimized geometry, DFT PBE; values from VASP
&SYSTEM
  ibrav = 0, nat = 20, ntyp = 3
/
ATOMIC_SPECIES
Sm 150.36 Sm.upf
Tm 168.93 Tm.upf
Y 88.91 Y.upf
CELL_PARAMETERS angstrom
6.792 0.000 0.000
3.396 11.523 2.894
3.396 5.848 10.342
ATOMIC_POSITIONS crystal
Sm 0.750 0.500 0.500
Sm 0.250 0.500 0.500
Sm 0.500 0.750 0.750
Tm 0.750 0.000 0.000
Tm 0.250 0.000 0.000
Sm 0.376 0.721 0.528
Y 0.876 0.217 0.030
Tm 0.620 0.632 0.127
Sm 0.000 0.250 0.250
Sm 0.624 0.279 0.472
Y 0.376 0.030 0.217
Sm 0.124 0.472 0.279
Tm 0.380 0.368 0.873
Tm 0.120 0.127 0.632
Tm 0.880 0.873 0.368
Y 0.124 0.783 0.970
Y 0.624 0.970 0.783
Sm 0.876 0.528 0.721
Sm 0.500 0.250 0.250
Sm 0.000 0.750 0.750
! space-group type: Ibam, No. 72
! theoretical density: 6.9 Mg/m³

---

Computed energies relative to the best structure, in eV/atom: one 0.000; two 0.209

---

one | ! Sm7Y12Tm, optimized geometry, DFT PBE; values from VASP
&SYSTEM
  ibrav = 0, nat = 20, ntyp = 3
/
ATOMIC_SPECIES
Y 88.91 Y.upf
Sm 150.36 Sm.upf
Tm 168.93 Tm.upf
CELL_PARAMETERS angstrom
-8.797 -0.114 0.506
-0.741 -7.890 -3.854
-0.126 -4.409 7.629
ATOMIC_POSITIONS crystal
Y 0.864 0.502 0.385
Sm 0.923 0.847 0.602
Y 0.270 0.146 0.748
Y 0.385 0.864 0.502
Sm 0.153 0.398 0.077
Y 0.615 0.136 0.498
Sm 0.500 0.500 0.500
Sm 0.077 0.153 0.398
Sm 0.847 0.602 0.923
Y 0.854 0.252 0.730
Y 0.136 0.498 0.615
Y 0.146 0.748 0.270
Sm 0.602 0.923 0.847
Y 0.498 0.615 0.136
Y 0.252 0.730 0.854
Tm 0.000 0.000 0.000
Y 0.748 0.270 0.146
Sm 0.398 0.077 0.153
Y 0.502 0.385 0.864
Y 0.730 0.854 0.252
! space-group type: R-3, No. 148
! theoretical density: 5.6 Mg/m³

---

two | ! Sm7Y12Tm, optimized geometry, DFT PBE; values from VASP
&SYSTEM
  ibrav = 0, nat = 20, ntyp = 3
/
ATOMIC_SPECIES
Y 88.91 Y.upf
Tm 168.93 Tm.upf
Sm 150.36 Sm.upf
CELL_PARAMETERS angstrom
6.534 0.000 1.891
-3.674 9.324 4.541
-0.815 0.000 10.973
ATOMIC_POSITIONS crystal
Y 0.745 0.544 0.523
Tm 0.000 0.000 0.000
Y 0.504 0.214 0.573
Sm 0.208 0.837 0.859
Y 0.077 0.573 0.213
Y 0.732 0.477 0.067
Y 0.923 0.427 0.787
Y 0.710 0.787 0.786
Y 0.268 0.523 0.933
Sm 0.067 0.859 0.304
Y 0.200 0.933 0.544
Sm 0.933 0.141 0.696
Sm 0.371 0.304 0.837
Sm 0.792 0.163 0.141
Y 0.255 0.456 0.477
Y 0.800 0.067 0.456
Sm 0.629 0.696 0.163
Y 0.496 0.786 0.427
Y 0.290 0.213 0.214
Sm 0.500 0.000 0.000
! space-group type: R-3, No. 148
! theoretical density: 5.6 Mg/m³

---

Computed energies relative to the best structure, in eV/atom: one 0.000; two 0.085

---

one | ! Sm6YTm12, optimized geometry, DFT PBE; values from VASP
&SYSTEM
  ibrav = 0, nat = 19, ntyp = 3
/
ATOMIC_SPECIES
Sm 150.36 Sm.upf
Tm 168.93 Tm.upf
Y 88.91 Y.upf
CELL_PARAMETERS angstrom
-3.101 7.021 3.819
-8.382 -1.797 -0.075
-1.005 -2.928 7.995
ATOMIC_POSITIONS crystal
Sm 0.835 0.233 0.233
Sm 0.165 0.767 0.767
Sm 0.767 0.165 0.767
Tm 0.864 0.863 0.516
Tm 0.863 0.516 0.864
Tm 0.484 0.136 0.137
Sm 0.767 0.767 0.165
Tm 0.487 0.804 0.487
Tm 0.196 0.513 0.513
Tm 0.487 0.487 0.804
Tm 0.513 0.513 0.196
Tm 0.137 0.484 0.136
Tm 0.516 0.864 0.863
Tm 0.513 0.196 0.513
Y 0.000 0.000 0.000
Sm 0.233 0.835 0.233
Tm 0.804 0.487 0.487
Sm 0.233 0.233 0.835
Tm 0.136 0.137 0.484
! space-group type: R-3m, No. 166
! theoretical density: 8.3 Mg/m³

---

two | ! Sm6YTm12, optimized geometry, DFT PBE; values from VASP
&SYSTEM
  ibrav = 0, nat = 19, ntyp = 3
/
ATOMIC_SPECIES
Tm 168.93 Tm.upf
Sm 150.36 Sm.upf
Y 88.91 Y.upf
CELL_PARAMETERS angstrom
-4.558 -3.992 6.160
7.813 -3.153 1.919
0.766 7.740 3.764
ATOMIC_POSITIONS crystal
Tm 0.355 0.355 0.082
Tm 0.500 0.757 0.243
Sm 0.099 0.099 0.655
Tm 0.757 0.243 0.500
Tm 0.500 0.243 0.757
Tm 0.355 0.082 0.355
Tm 0.645 0.645 0.918
Tm 0.243 0.500 0.757
Sm 0.345 0.901 0.901
Sm 0.655 0.099 0.099
Y 0.000 0.000 0.000
Tm 0.918 0.645 0.645
Sm 0.901 0.345 0.901
Tm 0.757 0.500 0.243
Tm 0.645 0.918 0.645
Tm 0.082 0.355 0.355
Sm 0.901 0.901 0.345
Sm 0.099 0.655 0.099
Tm 0.243 0.757 0.500
! space-group type: R-3m, No. 166
! theoretical density: 8.1 Mg/m³

---

Computed energies relative to the best structure, in eV/atom: one 0.000; two 0.094

---

one | ! Sm5Y4Tm2, optimized geometry, DFT PBE; values from VASP
&SYSTEM
  ibrav = 0, nat = 11, ntyp = 3
/
ATOMIC_SPECIES
Tm 168.93 Tm.upf
Sm 150.36 Sm.upf
Y 88.91 Y.upf
CELL_PARAMETERS angstrom
3.525 0.000 0.000
0.000 9.097 0.000
-1.762 -4.549 11.751
ATOMIC_POSITIONS crystal
Tm 0.731 0.731 0.462
Sm 0.853 0.053 0.706
Y 0.000 0.311 0.000
Y 0.402 0.402 0.804
Y 0.598 0.598 0.196
Tm 0.269 0.269 0.538
Sm 0.147 0.947 0.294
Sm 0.500 0.000 0.000
Y 0.000 0.689 0.000
Sm 0.147 0.347 0.294
Sm 0.853 0.653 0.706
! space-group type: Immm, No. 71
! theoretical density: 6.4 Mg/m³

---

two | ! Sm5Y4Tm2, optimized geometry, DFT PBE; values from VASP
&SYSTEM
  ibrav = 0, nat = 11, ntyp = 3
/
ATOMIC_SPECIES
Tm 168.93 Tm.upf
Y 88.91 Y.upf
Sm 150.36 Sm.upf
CELL_PARAMETERS angstrom
6.538 0.267 2.185
2.573 6.016 2.185
0.428 0.295 9.740
ATOMIC_POSITIONS crystal
Tm 0.131 0.131 0.854
Y 0.654 0.654 0.496
Sm 0.000 0.000 0.500
Y 0.353 0.353 0.154
Sm 0.161 0.632 0.820
Y 0.346 0.346 0.504
Sm 0.839 0.368 0.180
Sm 0.368 0.839 0.180
Sm 0.632 0.161 0.820
Y 0.647 0.647 0.846
Tm 0.869 0.869 0.146
! space-group type: C2/m, No. 12
! theoretical density: 6.5 Mg/m³

---

Computed energies relative to the best structure, in eV/atom: one 0.067; two 0.000

---

one | ! Sm5Y2Tm4, optimized geometry, DFT PBE; values from VASP
&SYSTEM
  ibrav = 0, nat = 11, ntyp = 3
/
ATOMIC_SPECIES
Tm 168.93 Tm.upf
Sm 150.36 Sm.upf
Y 88.91 Y.upf
CELL_PARAMETERS angstrom
7.490 1.169 2.169
3.754 6.586 2.169
0.810 0.558 8.449
ATOMIC_POSITIONS crystal
Tm 0.254 0.254 0.275
Tm 0.606 0.606 0.507
Sm 0.646 0.166 0.884
Y 0.853 0.853 0.265
Y 0.147 0.147 0.735
Sm 0.000 0.000 0.500
Tm 0.746 0.746 0.725
Sm 0.166 0.646 0.884
Tm 0.394 0.394 0.493
Sm 0.354 0.834 0.116
Sm 0.834 0.354 0.116
! space-group type: C2/m, No. 12
! theoretical density: 7.3 Mg/m³

---

two | ! Sm5Y2Tm4, optimized geometry, DFT PBE; values from VASP
&SYSTEM
  ibrav = 0, nat = 11, ntyp = 3
/
ATOMIC_SPECIES
Sm 150.36 Sm.upf
Y 88.91 Y.upf
Tm 168.93 Tm.upf
CELL_PARAMETERS angstrom
3.506 0.000 0.000
0.000 8.991 0.000
-1.753 -4.495 11.751
ATOMIC_POSITIONS crystal
Sm 0.143 0.945 0.286
Sm 0.857 0.055 0.714
Sm 0.500 0.000 0.000
Sm 0.143 0.341 0.286
Y 0.731 0.731 0.462
Y 0.269 0.269 0.538
Tm 0.000 0.315 0.000
Sm 0.857 0.659 0.714
Tm 0.000 0.685 0.000
Tm 0.597 0.597 0.193
Tm 0.403 0.403 0.807
! space-group type: Immm, No. 71
! theoretical density: 7.2 Mg/m³

---

Computed energies relative to the best structure, in eV/atom: one 0.033; two 0.000

---

one | ! Sm2Y2Tm3, optimized geometry, DFT PBE; values from VASP
&SYSTEM
  ibrav = 0, nat = 14, ntyp = 3
/
ATOMIC_SPECIES
Sm 150.36 Sm.upf
Tm 168.93 Tm.upf
Y 88.91 Y.upf
CELL_PARAMETERS angstrom
-6.168 -2.856 -4.927
4.958 -6.386 2.263
-3.307 3.541 6.855
ATOMIC_POSITIONS crystal
Sm 0.187 0.687 0.687
Tm 0.809 0.250 0.559
Sm 0.000 0.000 0.813
Tm 0.441 0.191 0.750
Tm 0.059 0.309 0.250
Y 0.912 0.500 0.000
Sm 0.500 0.813 0.500
Y 0.500 0.412 0.500
Tm 0.750 0.559 0.309
Y 0.000 0.000 0.412
Y 0.588 0.088 0.088
Tm 0.691 0.750 0.941
Sm 0.313 0.500 0.000
Tm 0.250 0.941 0.191
! space-group type: I2_13, No. 199
! theoretical density: 7.2 Mg/m³

---

two | ! Sm2Y2Tm3, optimized geometry, DFT PBE; values from VASP
&SYSTEM
  ibrav = 0, nat = 14, ntyp = 3
/
ATOMIC_SPECIES
Y 88.91 Y.upf
Tm 168.93 Tm.upf
Sm 150.36 Sm.upf
CELL_PARAMETERS angstrom
6.366 0.000 -1.314
0.000 10.987 0.000
1.749 0.000 6.157
ATOMIC_POSITIONS crystal
Y 0.261 0.768 0.881
Tm 0.460 0.957 0.253
Sm 0.039 0.149 0.553
Sm 0.961 0.851 0.447
Tm 0.500 0.500 0.000
Tm 0.540 0.043 0.747
Sm 0.539 0.351 0.553
Tm 0.000 0.000 0.000
Sm 0.461 0.649 0.447
Y 0.239 0.268 0.119
Tm 0.040 0.457 0.747
Y 0.761 0.732 0.881
Tm 0.960 0.543 0.253
Y 0.739 0.232 0.119
! space-group type: P2_1/c, No. 14
! theoretical density: 7.2 Mg/m³

---

Computed energies relative to the best structure, in eV/atom: one 0.024; two 0.000

---

one | ! Sm5YTm, optimized geometry, DFT PBE; values from VASP
&SYSTEM
  ibrav = 0, nat = 7, ntyp = 3
/
ATOMIC_SPECIES
Sm 150.36 Sm.upf
Tm 168.93 Tm.upf
Y 88.91 Y.upf
CELL_PARAMETERS angstrom
6.216 0.000 0.000
0.000 8.009 0.000
-3.108 -4.004 5.892
ATOMIC_POSITIONS crystal
Sm 0.168 0.500 0.000
Sm 0.684 0.747 0.494
Sm 0.432 0.821 0.000
Tm 0.694 0.500 0.000
Sm 0.432 0.179 0.000
Y 0.930 0.000 0.000
Sm 0.190 0.253 0.506
! space-group type: Imm2, No. 44
! theoretical density: 5.7 Mg/m³

---

two | ! Sm5YTm, optimized geometry, DFT PBE; values from VASP
&SYSTEM
  ibrav = 0, nat = 7, ntyp = 3
/
ATOMIC_SPECIES
Y 88.91 Y.upf
Sm 150.36 Sm.upf
Tm 168.93 Tm.upf
CELL_PARAMETERS angstrom
6.024 1.820 3.158
4.731 7.745 4.653
2.078 2.256 7.981
ATOMIC_POSITIONS crystal
Y 0.000 0.000 0.000
Sm 0.500 0.000 0.000
Sm 0.661 0.093 0.478
Sm 0.339 0.907 0.522
Tm 0.500 0.500 0.500
Sm 0.197 0.478 0.093
Sm 0.803 0.522 0.907
! space-group type: C2/m, No. 12
! theoretical density: 7.0 Mg/m³

---

Computed energies relative to the best structure, in eV/atom: one 0.716; two 0.000